Below is a relaxed AgPb crystal, with properties calculated at the PBE level.

Lattice parameters (Å, degrees): 3.4546 3.4546 8.1590 90.00 90.00 90.00
With the nearest neighbours (Å) after each atom.
Space group P4/nmm (No. 129, origin choice 2)
One atom of each set of equivalent atoms:
Ag 0.2500 0.2500 0.0921 [2 per cell]  4 Ag 2.87, 4 Pb 3.15
Pb 0.2500 0.2500 0.6649 [2 per cell]  5 Ag 3.15-3.49, 4 Pb 3.45

Summary:
Its calculated formation energy is 7 kJ per mole of atoms. The calculation puts the total magnetization at 0.00 μB per formula unit. The energy is -3.212 eV per atom. The density of states at the Fermi level comes out at 1.68 states/eV per cell.